[1]
A geometry-optimized La12Ni3H5 structure. Source: the Alexandria database, functional PBE.

a b c (Å): 15.7373 15.7373 15.7373
angles (deg): 90.00 90.00 90.00
Last column: nearest neighbours and their distance in Å.
Space group Ia-3d (No. 230)
Unique sites:
La (0.0349, 0.0673, 0.6542) (multiplicity 96)  1 H 2.32
Ni (0.0000, 0.2500, 0.1250) (multiplicity 24)  8 La 2.96-3.12
H (0.0000, 0.0000, 0.0000) (multiplicity 16)  6 La 2.70
H (0.0000, 0.2500, 0.3750) (multiplicity 24)  4 La 2.32

Its total moment is 0.000 μB per formula unit. For the energy, the calculation gives -4.90 eV/atom.

[2]
A geometry-optimized PaSnI2F6 structure. Source: the Alexandria database, functional PBE.

a b c (Å): 9.5502 9.5502 9.5502
angles (deg): 90.00 90.00 90.00
Last column: nearest neighbours and their distance in Å.
Space group Fm-3m (No. 225)
Unique sites:
Pa (0.0000, 0.0000, 0.0000) (multiplicity 4)  6 F 2.14
Sn (0.0000, 0.0000, 0.5000) (multiplicity 4)  6 F 2.64
I (0.2500, 0.2500, 0.2500) (multiplicity 8)  12 F 3.39
F (0.0000, 0.0000, 0.2239) (multiplicity 24)  1 Pa 2.14

Its total moment is 1.089 μB per formula unit. For the energy, the calculation gives -5.22 eV/atom. The uncorrected formation energy is -2.4324 eV per atom.